[1]
Density functional theory data (PBE) for a geometry-optimized NaEuTlAs structure.

The mass density comes out at 7.01 Mg/m³. The value obtained for the total energy is -81.4 eV per cell. As for the formation energy: -1.749 eV/f.u. As for the volume: 430.3 Å³ per cell.

The space group is F-43m (No. 216) and the conventional cell measures 7.550, 7.550 and 7.550 Å, with angles of 90.00, 90.00 and 90.00 degrees. The distinct sites, in fractional coordinates, are Na at (0.000, 0.000, 0.000), Eu at (0.000, 0.000, 0.500), Tl at (0.250, 0.250, 0.750) and As at (0.250, 0.250, 0.250).

[2]
Density functional theory data (PBE) for a geometry-optimized KTaB3 structure.

The mass density comes out at 4.72 Mg/m³. The value obtained for the total energy is -27.1 eV per cell. The energy relative to the lowest polymorph listed for this composition is 0 meV per atom. As for the formation energy: 5.870 eV/f.u. As for the volume: 88.7 Å³ per cell.

The space group is Pm-3m (No. 221) and the conventional cell measures 4.461, 4.461 and 4.461 Å, with angles of 90.00, 90.00 and 90.00 degrees. The distinct sites, in fractional coordinates, are K at (0.000, 0.000, 0.000), Ta at (0.500, 0.500, 0.500) and B at (0.000, 0.500, 0.500).

- What is the total energy in the second record?
  -27.1 eV per cell

- Which formula does entry 1 have?
  NaEuTlAs

- What is the formula in the second record?
  KTaB3

- What is the total energy in the second record?
  -27.1 eV per cell